VASP calculation (PBE) on an optimized crystal structure of AlFe2Ir.

```
AlFe2Ir
1.0
-1.8221 1.8221 3.9389
1.8221 -1.8221 3.9389
1.8221 1.8221 -3.9389
Al Fe Ir
1 2 1
Cartesian
0.0000 0.0000 0.0000
1.8221 0.0000 1.9694
0.0000 1.8221 1.9694
0.0000 0.0000 3.9389
```

Computed properties:
**Energy relative to the elements**: -0.256 eV/atom
**Density of states at the Fermi level**: 3.7 states/eV/cell
**Total magnetization**: 5.1 μB/f.u.



VASP calculation (PBE) on an optimized crystal structure of Ho8Al2Pd.

```
Ho8Al2Pd
1.0
9.1819 -2.4984 0.0000
9.1819 2.4984 0.0000
-1.3605 0.0000 6.4577
Ho Al Pd
8 2 1
Cartesian
0.0333 0.0000 1.7590
2.7618 0.0000 5.2142
5.6937 0.0000 3.3755
7.4183 0.0000 0.2419
9.5849 0.0000 6.2158
11.3096 0.0000 3.0822
14.2414 0.0000 1.2435
16.9699 0.0000 4.6987
3.1237 0.0000 1.6542
13.8795 0.0000 4.8035
8.5016 0.0000 3.2288
```

Computed properties:
**Energy relative to the elements**: -0.281 eV/atom
**Density of states at the Fermi level**: 12.0 states/eV/cell
**Total magnetization**: 0.0 μB/f.u.



VASP calculation (PBE) on an optimized crystal structure of LaMnBAu2.

```
LaMnBAu2
1.0
5.0261 0.0000 0.0000
0.0000 5.0261 0.0000
0.0000 0.0000 4.0199
La Mn B Au
1 1 1 2
Cartesian
0.0000 0.0000 0.0000
2.5130 2.5130 2.0099
2.5130 2.5130 0.0000
0.0000 2.5130 2.0099
2.5130 0.0000 2.0099
```

Computed properties:
**Energy relative to the elements**: 0.077 eV/atom
**Density of states at the Fermi level**: 4.0 states/eV/cell
**Total magnetization**: 2.3 μB/f.u.



VASP calculation (PBE) on an optimized crystal structure of Y3ErRh8.

```
Y3ErRh8
1.0
2.6694 1.5412 8.7135
-2.6694 1.5412 8.7135
0.0000 -3.0824 8.7135
Y Er Rh
3 1 8
Cartesian
0.0000 0.0000 0.0000
0.0000 0.0000 3.2773
0.0000 0.0000 13.0829
0.0000 0.0000 16.3526
-1.3364 -0.7716 10.3486
0.0000 -1.5421 6.0072
-1.3355 0.7710 6.0072
0.0000 0.0000 8.1767
1.3364 -0.7716 10.3486
1.3355 0.7710 6.0072
0.0000 1.5431 10.3486
0.0000 0.0000 21.2483
```

Computed properties:
**Energy relative to the elements**: -0.743 eV/atom
**Density of states at the Fermi level**: 7.2 states/eV/cell
**Total magnetization**: 0.0 μB/f.u.



VASP calculation (PBE) on an optimized crystal structure of LaSIN2.

```
LaSIN2
1.0
4.2412 0.0000 0.0000
0.0000 4.2412 0.0000
0.0000 0.0000 5.0371
La S I N
1 1 1 2
Cartesian
0.0000 0.0000 0.0000
2.1206 2.1206 0.0000
2.1206 2.1206 2.5185
0.0000 2.1206 2.5185
2.1206 0.0000 2.5185
```

Computed properties:
**Density of states at the Fermi level**: 1.6 states/eV/cell
**Uncorrected formation energy**: 544 meV per atom
**Total magnetization**: 0.0 μB/f.u.



VASP calculation (PBE) on an optimized crystal structure of RbNa2Zn2Sb2.

```
RbNa2Zn2Sb2
1.0
5.1689 -2.2572 0.0000
5.1689 2.2572 0.0000
-3.5525 0.0000 9.5742
Rb Na Zn Sb
1 2 2 2
Cartesian
0.0000 0.0000 0.0000
-0.2088 0.0000 3.8126
6.9940 0.0000 5.7616
2.8068 0.0000 3.6039
3.9785 0.0000 5.9703
-0.3799 0.0000 7.0800
7.1652 0.0000 2.4942
```

Computed properties:
**Density of states at the Fermi level**: 2.0 states/eV/cell
**Uncorrected formation energy**: -282 meV per atom
**Total magnetization**: 0.0 μB/f.u.



VASP calculation (PBE) on an optimized crystal structure of Ac2NbIn.

```
Ac2NbIn
1.0
1.7422 1.0059 12.1106
-1.7422 1.0059 12.1106
0.0000 -2.0117 12.1106
Ac Nb In
2 1 1
Cartesian
0.0000 0.0000 3.0776
0.0000 0.0000 33.2544
0.0000 0.0000 0.0000
0.0000 0.0000 18.1660
```

Computed properties:
**Energy relative to the elements**: 0.685 eV/atom
**Density of states at the Fermi level**: 5.4 states/eV/cell
**Total magnetization**: 0.6 μB/f.u.



VASP calculation (PBE) on an optimized crystal structure of CrSe3.

```
CrSe3
1.0
-1.4208 5.8201 3.0627
1.4208 -5.8201 3.0627
1.4208 5.8201 -3.0627
Cr Se
1 3
Cartesian
0.0000 0.0000 0.0000
1.4208 -1.6642 0.9695
1.4208 1.6642 0.9695
0.0000 5.8201 1.1350
```

Computed properties:
**Density of states at the Fermi level**: 2.3 states/eV/cell
**Uncorrected formation energy**: -205 meV per atom
**Total magnetization**: 0.0 μB/f.u.



VASP calculation (PBE) on an optimized crystal structure of Tm2In3Ag.

```
Tm2In3Ag
1.0
3.4576 0.0000 0.0000
0.0000 4.9004 0.0000
0.0000 0.0000 8.5015
Tm In Ag
2 3 1
Cartesian
0.0000 0.0000 0.0000
0.0000 2.4502 4.2186
1.7288 0.0000 5.5507
1.7288 2.4502 1.4797
1.7288 2.4502 7.0907
1.7288 0.0000 2.7763
```

Computed properties:
**Energy relative to the elements**: -0.374 eV/atom
**Density of states at the Fermi level**: 3.5 states/eV/cell
**Total magnetization**: 0.0 μB/f.u.



VASP calculation (PBE) on an optimized crystal structure of PrThPt6.

```
PrThPt6
1.0
4.2276 0.0000 0.0000
0.0000 4.2276 0.0000
0.0000 0.0000 8.4396
Pr Th Pt
1 1 6
Cartesian
0.0000 0.0000 0.0000
0.0000 0.0000 4.2198
0.0000 2.1138 2.1383
0.0000 2.1138 6.3014
2.1138 0.0000 2.1383
2.1138 0.0000 6.3014
2.1138 2.1138 0.0000
2.1138 2.1138 4.2198
```

Computed properties:
**Energy relative to the elements**: -1.005 eV/atom
**Density of states at the Fermi level**: 1.3 states/eV/cell
**Total magnetization**: 0.0 μB/f.u.



VASP calculation (PBE) on an optimized crystal structure of Tl7Hg3Rh2.

```
Tl7Hg3Rh2
1.0
2.3836 -14.0597 0.0000
2.3836 14.0597 0.0000
0.0000 0.0000 4.7425
Tl Hg Rh
7 3 2
Cartesian
0.0000 0.0000 0.0000
2.3836 11.5317 2.3712
2.3836 8.2876 2.3712
2.3836 2.6816 0.0000
2.3836 -2.6816 0.0000
2.3836 -8.2876 2.3712
2.3836 -11.5317 2.3712
2.3836 5.8777 0.0000
2.3836 0.0000 2.3712
2.3836 -5.8777 0.0000
2.3836 4.2460 2.3712
2.3836 -4.2460 2.3712
```

Computed properties:
**Energy relative to the elements**: 0.074 eV/atom
**Density of states at the Fermi level**: 6.5 states/eV/cell
**Total magnetization**: 0.0 μB/f.u.



VASP calculation (PBE) on an optimized crystal structure of EuGdCu2.

```
EuGdCu2
1.0
5.0584 0.0000 0.0000
0.0000 5.0584 0.0000
0.0000 0.0000 3.5504
Eu Gd Cu
1 1 2
Cartesian
0.0000 0.0000 0.0000
2.5292 2.5292 0.0000
0.0000 2.5292 1.7752
2.5292 0.0000 1.7752
```

Computed properties:
**Energy relative to the elements**: -0.123 eV/atom
**Density of states at the Fermi level**: 7.8 states/eV/cell
**Total magnetization**: 14.2 μB/f.u.



VASP calculation (PBE) on an optimized crystal structure of CdInHg2Pd.

```
CdInHg2Pd
1.0
5.4746 0.0000 0.0000
0.0000 5.4746 0.0000
0.0000 0.0000 5.4362
Cd In Hg Pd
1 1 2 1
Cartesian
0.0000 0.0000 0.0000
0.0000 0.0000 2.7181
0.0000 2.7373 2.7181
2.7373 0.0000 2.7181
2.7373 2.7373 0.0000
```

Computed properties:
**Energy relative to the elements**: 0.637 eV/atom
**Density of states at the Fermi level**: 3.8 states/eV/cell
**Total magnetization**: 0.0 μB/f.u.



no.,mass density (g/cm3)
1,10.503
2,8.294
3,9.788
4,9.706
5,5.973
6,3.759
7,8.629
8,4.735
9,9.109
10,16.991
11,11.693
12,7.975
13,7.489